Here is crystalline Cs2RbGeTe at its relaxed geometry from Alexandria via LeMat-Bulk. Energies are from PBE.

Properties
Total energy, eV per atom: -1.85
E_form (uncorrected), meV per atom: 242

abc: 7.8398 7.8398 6.2656
angles: 90.00 90.00 90.00
Space group P4/mmm (No. 123)
Symmetry-distinct sites (fractional):
Cs1 0.0000 0.5000 0.0000
Rb1 0.0000 0.0000 0.0000
Ge1 0.5000 0.5000 0.5000
Te1 0.0000 0.0000 0.5000